[1]
MnAs2SeO | PBE with a Hubbard U | optimized geometry

a b c (Å): 5.0560 4.8659 5.0560
angles (deg): 90.00 90.00 90.00
Sites, in units of the cell vectors:
As  0.5000  0.0000  0.0000
Se  0.0000  0.0000  0.0000
Mn  0.0000  0.5000  0.0000
O  0.5000  0.5000  0.5000
As  0.0000  0.0000  0.5000

Values from the calculation:
spin magnetization: 3.84 Bohr magnetons per cell
D(E_F): 1.20 states/eV/atom
electronic total energy: -3.919 eV per atom
space group: P4/mmm



[2]
MnAs2SeO | PBE with a Hubbard U | optimized geometry

a b c (Å): 4.2596 4.2596 4.9865
angles (deg): 90.00 90.00 90.00
Sites, in units of the cell vectors:
Mn  0.5000  0.5000  0.5000
As  0.5000  0.0000  0.0000
O  0.0000  0.0000  0.0000
Se  0.0000  0.0000  0.5000
As  0.0000  0.5000  0.0000

Values from the calculation:
spin magnetization: 4.39 Bohr magnetons per cell
D(E_F): 0.50 states/eV/atom
electronic total energy: -4.799 eV per atom
space group: P4/mmm



- Which of these has the lowest spin magnetization?
  number 1



- Among the records above, which one has the highest D(E_F)?
  number 1